## Si2BI (PBE)

Data for Si2BI after structural relaxation.

The space group is Fm-3m (No. 225) and the conventional cell measures 6.584, 6.584 and 6.584 Å, with angles of 90.00, 90.00 and 90.00 degrees. The asymmetric unit holds Si at (0.250, 0.250, 0.250), B at (0.000, 0.000, 0.000) and I at (0.000, 0.000, 0.500).

The uncorrected formation energy is 1.63 eV per atom. The relative energy among the computed polymorphs comes out at 1219 meV per atom.